Here is a relaxed structure of TlRu2Rh from the Alexandria database. Energies are from PBE.

a = 3.888 Å, b = 3.888 Å, c = 4.230 Å
α = 90.00°, β = 90.00°, γ = 90.00°
Space group P4/mmm (No. 123)
Asymmetric unit:
Tl 0.000 0.000 0.000 x1
Ru 0.000 0.500 0.500 x2
Rh 0.500 0.500 0.000 x1

Values from the calculation:
- Calculated formation energy: 11.94 kcal/mol of atoms
- VASP energy: -26.2 eV for the cell shown
- Total magnetic moment: 1.09 μB/cell